# 1
LaYSi3: relaxed, GGA-PBE.

Cell: 12.558 12.558 3.979 Å, 90.00 90.00 159.94°
Fractional positions:
La 0.071 0.929 0.750
La 0.929 0.071 0.250
Y 0.203 0.797 0.250
Y 0.797 0.203 0.750
Si 0.321 0.679 0.250
Si 0.379 0.621 0.750
Si 0.475 0.525 0.750
Si 0.525 0.475 0.250
Si 0.621 0.379 0.250
Si 0.679 0.321 0.750

Results
- Raw formation energy: -0.745 eV/atom

***

# 2
ScTlMo: relaxed, GGA-PBE.

Cell: 7.135 7.135 7.135 Å, 155.78 155.78 34.51°
Fractional positions:
Sc 0.000 0.000 0.000
Tl 0.317 0.317 0.000
Mo 0.653 0.653 0.000

Results
- ΔH_f (0 K): 0.293 eV/atom

***

Number 1: energy above the lowest structure with this stoichiometry 0 meV/atom, DFT total energy -0.2307 Ha/atom. Number 2: energy above the lowest structure with this stoichiometry 38 meV/atom, DFT total energy -0.2285 Ha/atom.